NaNiO2: optimized geometry, PBE with a Hubbard U.

Structure (POSCAR):
```
NaNiO2
1.0
5.4255 0.0000 -0.1151
0.0000 6.7745 0.0000
-0.1208 0.0000 5.9258
Ni O Na
4 8 4
Cartesian
4.5833 1.7221 3.6318
3.4342 5.1094 2.1213
1.8705 1.6651 3.6894
0.7215 5.0524 2.1788
4.8112 5.2883 0.8500
3.2394 1.7573 2.4349
0.4936 1.4863 4.9606
3.2064 1.9010 4.9030
4.7781 5.1446 3.3182
0.5267 1.6299 2.4924
2.0653 5.0172 3.3758
2.0984 4.8735 0.9076
4.5116 0.9014 0.7070
1.7988 2.4859 0.7646
3.5059 4.2886 5.0461
0.7932 5.8731 5.1036
```

Output
E_tot ... -4.488 eV per atom
Theoretical density ... 3.47 Mg/m³
Size of the total moment ... 4.00 μB per cell